(1)
Here is a relaxed structure of TcGeI3 from Alexandria. Energies are from PBE.

D(E_F): 3.030 states/eV per atom
Final energy: -3.066 eV/atom
Uncorrected formation energy: 0.86 eV per atom
Total magnetic moment: 1.18 μB per atom

Geometry as POSCAR:
```
TcGeI3
1.0
-1.1218 -1.0683 5.5849
4.3744 -3.7990 0.1520
3.6328 4.2447 1.5416
I Tc Ge
3 1 1
Direct
0.0000 0.0000 0.5000
0.0000 0.5000 0.0000
0.5000 0.0000 0.0000
0.5000 0.5000 0.5000
0.0000 0.0000 0.0000
```

***

(2)
Here is a relaxed structure of Tl2InTe2 from Alexandria. Energies are from PBE.

D(E_F): 0.449 states/eV per atom
Final energy: -2.841 eV/atom
Uncorrected formation energy: -0.09 eV per atom
Total magnetic moment: 0.00 μB per atom

Geometry as POSCAR:
```
Tl2InTe2
1.0
-3.7537 5.3877 -6.0216
-3.5662 -7.0627 -4.0961
-3.3901 0.3201 2.3996
Te Tl In
4 4 2
Direct
0.3280 0.1720 0.5000
0.1720 0.6720 0.5000
0.6720 0.8280 0.5000
0.8280 0.3280 0.5000
0.6314 0.1314 0.0000
0.1314 0.3686 0.0000
0.8686 0.6314 0.0000
0.3686 0.8686 0.0000
0.5000 0.5000 0.0000
0.0000 0.0000 0.0000
```

***

(3)
Here is a relaxed structure of MgGa2Cu2 from Alexandria. Energies are from PBE.

D(E_F): 0.171 states/eV per atom
Final energy: -3.250 eV/atom
Energy of formation: -0.0817 eV per atom
Total magnetic moment: 0.00 μB per atom

Geometry as POSCAR:
```
MgGa2Cu2
1.0
5.4365 -1.4022 -0.5110
-4.6791 5.3976 -1.6428
0.7866 0.6087 6.3217
Ga Mg Cu
4 2 4
Direct
0.6765 0.6777 0.3600
0.3235 0.3223 0.6400
0.8165 0.3176 0.6400
0.1835 0.6824 0.3600
0.6623 0.9123 0.8246
0.3377 0.0877 0.1754
0.7406 0.4906 0.9812
0.2594 0.5094 0.0188
0.8896 0.1396 0.2793
0.1104 0.8604 0.7207
```

***

(4)
Here is a relaxed structure of SbTe2Ru from Alexandria. Energies are from PBE.

D(E_F): 0.643 states/eV per atom
Final energy: -4.919 eV/atom
Uncorrected formation energy: 0.00 eV per atom
Total magnetic moment: 0.00 μB per atom

Geometry as POSCAR:
```
SbTe2Ru
1.0
3.9962 0.0000 0.0000
0.0000 5.5274 0.0528
0.0000 2.9443 4.6785
Ru Sb Te
1 1 2
Direct
0.5000 0.2500 0.2500
0.5000 0.7500 0.7500
0.0000 0.4313 0.4314
0.0000 0.0687 0.0686
```

***

(5)
Here is a relaxed structure of CuHgTe2 from Alexandria. Energies are from PBE.

D(E_F): 0.232 states/eV per atom
Final energy: -2.535 eV/atom
Uncorrected formation energy: 0.14 eV per atom
Total magnetic moment: 0.00 μB per atom

Geometry as POSCAR:
```
CuHgTe2
1.0
5.9537 0.1115 -0.0053
0.1935 5.9516 0.0053
-1.8984 -4.2231 3.7444
Te Cu Hg
2 1 1
Direct
0.6271 0.1271 0.5000
0.0990 0.0990 0.0000
0.4817 0.4817 0.0000
0.2922 0.7922 0.5000
```

***

(6)
Here is a relaxed structure of HgMoOs2 from Alexandria. Energies are from PBE.

D(E_F): 1.245 states/eV per atom
Final energy: -7.677 eV/atom
Energy of formation: 0.7213 eV per atom
Total magnetic moment: 0.00 μB per atom

Geometry as POSCAR:
```
HgMoOs2
1.0
-2.7577 0.2102 0.1142
1.1661 -2.1787 1.2472
0.7288 5.0947 8.2187
Os Mo Hg
2 1 1
Direct
0.5000 0.5000 0.2325
0.0000 0.0000 0.0000
0.5000 0.5000 0.7692
0.0000 0.0000 0.4983
```

***

(7)
Here is a relaxed structure of K2SiTc from Alexandria. Energies are from PBE.

D(E_F): 0.751 states/eV per atom
Final energy: -4.213 eV/atom
Uncorrected formation energy: 0.28 eV per atom
Total magnetic moment: 0.00 μB per atom

Geometry as POSCAR:
```
K2SiTc
1.0
10.4789 0.0229 0.0045
9.3334 4.7639 -0.0045
-9.8030 -2.8203 2.3988
K Tc Si
2 1 1
Direct
0.3965 0.3965 0.0000
0.1035 0.1035 0.0000
0.7500 0.2500 0.5000
0.2500 0.7500 0.5000
```

***

(8)
Here is a relaxed structure of La2ReIr2 from Alexandria. Energies are from PBE.

D(E_F): 0.813 states/eV per atom
Final energy: -8.233 eV/atom
Energy of formation: -0.2284 eV per atom
Total magnetic moment: 0.00 μB per atom

Geometry as POSCAR:
```
La2ReIr2
1.0
6.7693 0.0000 0.0000
0.0000 6.7693 0.0000
0.0000 0.0000 4.8252
La Ir Re
4 4 2
Direct
0.6776 0.8224 0.5000
0.8224 0.3224 0.5000
0.3224 0.1776 0.5000
0.1776 0.6776 0.5000
0.1428 0.3572 0.0000
0.3572 0.8572 0.0000
0.8572 0.6428 0.0000
0.6428 0.1428 0.0000
0.0000 0.0000 0.0000
0.5000 0.5000 0.0000
```

***

(9)
Here is a relaxed structure of Hf3CdIn from Alexandria. Energies are from PBE.

D(E_F): 1.033 states/eV per atom
Final energy: -6.404 eV/atom
Energy of formation: 0.2987 eV per atom
Total magnetic moment: 0.00 μB per atom

Geometry as POSCAR:
```
Hf3CdIn
1.0
3.0524 0.0000 0.0000
0.0000 5.8621 -1.3098
0.0000 -4.6902 14.0820
Hf In Cd
6 2 2
Direct
0.5000 0.0000 0.0000
0.5000 0.5082 0.2031
0.5000 0.5000 0.0000
0.5000 0.0064 0.2007
0.5000 0.9936 0.7993
0.5000 0.4918 0.7969
0.0000 0.5023 0.6093
0.0000 0.4977 0.3907
0.5000 0.0353 0.4090
0.5000 0.9647 0.5910
```

***

(10)
Here is a relaxed structure of Sm3DyPd from Alexandria. Energies are from PBE.

D(E_F): 1.201 states/eV per atom
Final energy: -5.127 eV/atom
Energy of formation: -0.3363 eV per atom
Total magnetic moment: 0.00 μB per atom

Geometry as POSCAR:
```
Sm3DyPd
1.0
-2.7473 2.5862 -0.0037
-5.4944 -3.0823 1.5000
0.5686 3.3742 12.2830
Sm Pd Dy
6 2 2
Direct
0.9904 0.1008 0.9185
0.4579 0.9316 0.1526
0.1043 0.1688 0.6227
0.7572 0.7295 0.7561
0.7856 0.0426 0.3863
0.4277 0.6268 0.5177
0.4414 0.3380 0.7792
0.7644 0.3384 0.1327
0.2235 0.5584 0.9945
0.1083 0.5020 0.2813
```

***

(11)
Here is a relaxed structure of Ac2ErMgHg6 from Alexandria. Energies are from PBE.

D(E_F): 0.718 states/eV per atom
Final energy: -1.900 eV/atom
Energy of formation: -0.2819 eV per atom
Total magnetic moment: 0.00 μB per atom

Geometry as POSCAR:
```
Ac2ErMgHg6
1.0
6.0740 -0.2691 0.0912
-0.4094 10.0767 0.4444
2.8392 5.0722 5.0703
Hg Mg Er Ac
6 1 1 2
Direct
0.2053 0.0644 0.5375
0.3369 0.3350 0.8277
0.7787 0.2784 0.9485
0.7947 0.9356 0.4625
0.2213 0.7216 0.0515
0.6631 0.6650 0.1723
0.0000 0.0000 0.0000
0.5000 0.5000 0.0000
0.7333 0.2303 0.5413
0.2667 0.7697 0.4587
```

***

(12)
Here is a relaxed structure of Cu2Pt from Alexandria. Energies are from PBE.

D(E_F): 0.471 states/eV per atom
Final energy: -4.860 eV/atom
Energy of formation: -0.1160 eV per atom
Total magnetic moment: 0.00 μB per atom

Geometry as POSCAR:
```
Cu2Pt
1.0
4.5921 -0.0062 0.0226
-1.5673 8.3053 0.0037
-1.4575 -1.1497 4.2002
Pt Cu
4 8
Direct
0.0847 0.1694 0.5847
0.4230 0.8460 0.9230
0.3296 0.6592 0.3296
0.8296 0.6592 0.8296
0.6658 0.3315 0.6658
0.0024 0.0048 0.0024
0.2472 0.4944 0.7472
0.5024 0.0048 0.5024
0.7452 0.4904 0.2452
0.9187 0.8374 0.4187
0.1658 0.3315 0.1658
0.5857 0.1714 0.0857
```

***

(13)
Here is a relaxed structure of Cs3BaPb2I9 from Alexandria. Energies are from PBE.

D(E_F): 0.000 states/eV per atom
Final energy: -2.934 eV/atom
Uncorrected formation energy: -1.21 eV per atom
Total magnetic moment: 0.00 μB per atom

Geometry as POSCAR:
```
Cs3BaPb2I9
1.0
-8.0834 -0.9444 -4.0244
6.5937 -6.0362 -1.5864
-3.7421 -6.4616 9.0326
I Cs Ba Pb
9 3 1 2
Direct
0.8347 0.1653 0.6876
0.1653 0.8347 0.3124
0.6694 0.8347 0.3124
0.5000 0.0000 0.0000
0.3306 0.1653 0.6876
0.0000 0.5000 0.0000
0.1653 0.3306 0.3124
0.5000 0.5000 0.0000
0.8347 0.6694 0.6876
0.0000 0.0000 0.0000
0.6667 0.3333 0.2666
0.3333 0.6667 0.7334
0.0000 0.0000 0.5000
0.6667 0.3333 0.8354
0.3333 0.6667 0.1646
```